No. 1
BeTe2Os (PBE, optimized geometry); formation energy without anion corrections = 1.01 eV per atom; space group = No. 119
1.0
-2.600 3.251 -3.089
-4.643 1.069 2.042
4.791 0.153 1.973
Be Te Os
1 2 1
Direct
0.500 0.500 0.000
0.000 0.000 0.000
0.250 0.750 0.500
0.750 0.250 0.500

No. 2
BeVTe2Os (PBE, optimized geometry); formation energy without anion corrections = 1.01 eV per atom; space group = No. 123
1.0
-0.870 2.065 -4.278
-3.654 -1.698 -0.077
-1.842 3.862 2.238
Be Te Os V
1 2 1 1
Direct
0.000 0.000 0.000
0.000 0.000 0.500
0.500 0.000 0.000
0.000 0.500 0.000
0.500 0.500 0.500

No. 3
ThBe17Os (PBE, optimized geometry); formation energy = 0.00 eV per formula unit; space group = No. 160
1.0
-3.815 -0.737 -4.211
2.270 -4.823 -2.104
-3.415 -3.623 2.837
Th Be Os
1 17 1
Direct
0.655 0.655 0.655
0.285 0.013 0.706
0.706 0.285 0.013
0.013 0.706 0.285
0.285 0.706 0.013
0.013 0.285 0.706
0.706 0.013 0.285
0.336 0.876 0.336
0.336 0.336 0.876
0.876 0.336 0.336
0.650 0.161 0.650
0.650 0.650 0.161
0.161 0.650 0.650
0.996 0.505 0.996
0.996 0.996 0.505
0.505 0.996 0.996
0.910 0.910 0.910
0.101 0.101 0.101
0.319 0.319 0.319

No. 4
Ti2BeOs (PBE, optimized geometry); formation energy = -1.76 eV per formula unit; space group = No. 123
1.0
3.065 0.000 0.000
0.000 3.065 0.000
0.000 0.000 5.901
Be Os Ti
1 1 2
Direct
0.500 0.500 0.000
0.500 0.500 0.500
0.000 0.000 0.761
0.000 0.000 0.239

No. 5
Ti2Be16Os (PBE, optimized geometry); formation energy = -3.76 eV per formula unit; space group = No. 160
1.0
-1.185 1.274 -5.376
-5.615 0.165 0.611
-0.392 5.587 0.746
Ti Be Os
2 16 1
Direct
0.664 0.664 0.664
0.344 0.344 0.344
0.705 0.998 0.290
0.998 0.290 0.705
0.290 0.705 0.998
0.998 0.705 0.290
0.705 0.290 0.998
0.290 0.998 0.705
0.348 0.837 0.348
0.837 0.348 0.348
0.348 0.348 0.837
0.650 0.157 0.650
0.157 0.650 0.650
0.650 0.650 0.157
0.000 0.499 0.000
0.499 0.000 0.000
0.000 0.000 0.499
0.113 0.113 0.113
0.905 0.905 0.905

No. 6
TiBe8Os3 (PBE, optimized geometry); formation energy = -5.05 eV per formula unit; space group = No. 156
1.0
-1.129 -4.095 -0.993
4.211 1.132 0.127
0.262 -1.754 6.937
Ti Be Os
1 8 3
Direct
0.000 0.000 0.566
0.333 0.667 0.496
0.333 0.667 0.000
0.503 0.007 0.756
0.503 0.497 0.756
0.993 0.497 0.756
0.166 0.331 0.245
0.166 0.834 0.245
0.669 0.834 0.245
0.667 0.333 0.442
0.667 0.333 0.065
0.000 0.000 0.929

No. 7
Ti5BeOs4 (PBE, optimized geometry); formation energy = -6.11 eV per formula unit; space group = No. 123
1.0
3.088 0.000 0.000
0.000 3.088 0.000
0.000 0.000 15.142
Ti Be Os
5 1 4
Direct
0.500 0.500 0.092
0.500 0.500 0.295
0.500 0.500 0.500
0.500 0.500 0.705
0.500 0.500 0.908
0.000 0.000 0.000
0.000 0.000 0.191
0.000 0.000 0.397
0.000 0.000 0.603
0.000 0.000 0.809

No. 8
TiBe3Os (PBE, optimized geometry); formation energy = 9.30 eV per formula unit; space group = No. 221
1.0
4.032 0.000 0.000
0.000 4.032 0.000
0.000 0.000 4.032
Be Os Ti
3 1 1
Direct
0.000 0.500 0.000
0.000 0.000 0.500
0.500 0.000 0.000
0.500 0.500 0.500
0.000 0.000 0.000

No. 9
Ti4BeOs3 (PBE, optimized geometry); formation energy = -4.68 eV per formula unit; space group = No. 123
1.0
3.084 0.000 0.000
0.000 3.084 0.000
0.000 0.000 12.061
Be Os Ti
1 3 4
Direct
0.500 0.500 0.000
0.500 0.500 0.241
0.500 0.500 0.500
0.500 0.500 0.759
0.000 0.000 0.884
0.000 0.000 0.116
0.000 0.000 0.372
0.000 0.000 0.628

No. 10
TiBeOs2 (PBE, optimized geometry); formation energy = -1.29 eV per formula unit; space group = No. 123
1.0
3.000 0.000 0.000
0.000 3.000 0.000
0.000 0.000 5.826
Be Os Ti
1 2 1
Direct
0.500 0.500 0.000
0.000 0.000 0.774
0.000 0.000 0.226
0.500 0.500 0.500

No. 11
TiBeOs2 (PBE, optimized geometry); formation energy = 1.32 eV per formula unit; space group = No. 122
1.0
-0.483 3.787 -0.692
-3.834 -0.536 -0.259
-2.896 3.006 7.593
Be Os Ti
2 4 2
Direct
0.500 0.500 0.000
0.250 0.750 0.500
0.561 0.125 0.250
0.189 0.625 0.250
0.375 0.439 0.750
0.875 0.811 0.750
0.000 0.000 0.000
0.750 0.250 0.500

No. 12
TiBe2Os2 (PBE, optimized geometry); formation energy = -0.21 eV per formula unit; space group = No. 127
1.0
-0.196 6.118 2.875
-5.514 -1.809 3.473
1.594 -0.914 2.054
Be Os Ti
4 4 2
Direct
0.152 0.652 0.500
0.652 0.848 0.500
0.848 0.348 0.500
0.348 0.152 0.500
0.359 0.859 0.000
0.859 0.641 0.000
0.641 0.141 0.000
0.141 0.359 0.000
0.000 0.000 0.000
0.500 0.500 0.000